[1]
An optimized crystal structure of Si2NiCl. Source: Alexandria, functional GGA-PBE.

Summary:
- formation energy (no corrections) (meV per atom) = 274
- excess energy over the best structure of this formula in the dataset (meV per atom) = 599
- total DFT energy (no corrections) (eV per formula unit) = -17.4

a b c (Å): 2.811 4.791 9.357
angles (deg): 90.00 90.00 90.00
Space group Imm2 (No. 44)
Asymmetric unit:
Si1 0.000 0.000 0.000 [2 per cell]
Si2 0.000 0.500 0.242 [2 per cell]
Ni1 0.000 0.000 0.553 [2 per cell]
Cl1 0.000 0.500 0.831 [2 per cell]

[2]
An optimized crystal structure of Er2MnC4. Source: Alexandria, functional GGA-PBE.

Summary:
- DFT formation energy (eV per formula unit) = -1.95
- total DFT energy (no corrections) (eV per formula unit) = -57.1

a b c (Å): 7.542 9.449 5.007
angles (deg): 90.00 90.00 90.00
Space group Ibam (No. 72)
Asymmetric unit:
Er1 0.155 0.145 0.000 [8 per cell]
Mn1 0.000 0.500 0.250 [4 per cell]
C1 0.157 0.129 0.500 [8 per cell]
C2 0.172 0.420 0.000 [8 per cell]

[3]
An optimized crystal structure of LuPdRh. Source: Alexandria, functional GGA-PBE.

Summary:
- DFT formation energy (eV per formula unit) = -1.94
- excess energy over the best structure of this formula in the dataset (meV per atom) = 0
- total DFT energy (no corrections) (eV per formula unit) = -19.0

a b c (Å): 3.377 3.377 9.379
angles (deg): 90.00 90.00 90.00
Space group I4mm (No. 107)
Asymmetric unit:
Lu1 0.000 0.000 0.000 [2 per cell]
Pd1 0.000 0.000 0.670 [2 per cell]
Rh1 0.000 0.000 0.343 [2 per cell]